1.
PBE-GGA Tl2GaCl8, relaxed; total magnetic moment = 0.00 μB per formula unit; density of states at the Fermi level = 0.535 states/eV per atom; uncorrected formation energy = -0.7260 eV/atom
1.0
6.522 -0.157 -0.110
1.105 8.706 1.878
1.105 4.759 7.528
Tl Ga Cl
2 1 8
Cartesian
3.806 1.927 1.346
4.925 11.382 7.950
0.000 0.000 0.000
2.507 5.000 5.640
2.507 7.017 2.754
6.224 8.308 3.656
4.190 9.424 6.583
6.224 6.292 6.542
1.192 1.778 1.242
7.539 11.531 8.054
4.541 3.885 2.714

2.
PBE-GGA TmTlGa2Cl6, relaxed; total magnetic moment = 0.00 μB per formula unit; density of states at the Fermi level = 0.000 states/eV per atom; uncorrected formation energy = -1.4071 eV/atom
1.0
-4.560 3.025 -5.160
0.753 -1.844 -7.251
-5.531 -4.611 -3.315
Tm Tl Ga Cl
1 1 2 6
Cartesian
-1.388 0.256 -4.113
-6.207 -1.640 -11.948
-4.414 -1.418 -7.916
-5.388 -4.448 -3.340
-3.668 0.196 -5.352
-1.619 -2.169 -9.033
-5.302 0.837 -9.867
-5.552 -3.631 -9.587
-7.311 -1.743 -7.155
-4.634 -3.853 -6.171

3.
PBE-GGA UTl2GaCl6, relaxed; total magnetic moment = 3.01 μB per formula unit; density of states at the Fermi level = 0.434 states/eV per atom; uncorrected formation energy = -1.2215 eV/atom
1.0
-7.108 2.298 2.448
-2.949 -1.566 -7.094
3.786 -5.456 3.963
U Tl Ga Cl
1 2 1 6
Cartesian
-1.475 -0.783 -3.547
-0.394 -2.623 0.743
-5.878 -2.101 -1.425
-3.554 1.149 1.224
-2.892 -2.884 -2.494
1.533 -4.608 2.498
-6.362 0.650 0.287
0.091 -5.373 -0.969
-7.804 -0.116 -3.181
-3.379 -1.840 1.811

4.
PBE-GGA Tl2VGaCl6, relaxed; total magnetic moment = 2.00 μB per formula unit; density of states at the Fermi level = 0.968 states/eV per atom; uncorrected formation energy = -1.0422 eV/atom
1.0
7.576 0.012 0.005
3.798 6.556 0.013
3.796 2.200 5.723
Tl V Ga Cl
2 1 1 6
Cartesian
7.591 4.383 1.928
3.789 2.197 4.396
3.792 2.190 0.300
11.377 6.574 3.171
5.701 1.735 1.681
2.444 0.785 1.704
3.252 4.082 1.677
8.936 5.795 4.620
8.129 2.497 4.647
5.679 4.845 4.643

5.
PBE-GGA YTl2GaCl6, relaxed; total magnetic moment = 0.00 μB per formula unit; density of states at the Fermi level = 0.000 states/eV per atom; uncorrected formation energy = -1.4811 eV/atom
1.0
7.720 0.001 0.000
3.860 6.685 0.000
3.860 2.229 6.433
Y Tl Ga Cl
1 2 1 6
Cartesian
3.860 2.229 0.246
7.720 4.458 2.500
3.860 2.229 5.859
11.580 6.686 3.610
6.045 1.756 1.657
6.217 7.258 1.658
10.897 4.359 1.657
9.067 6.083 5.025
8.454 2.478 5.026
5.639 4.811 5.025

6.
PBE-GGA TlZnGaCl4, relaxed; total magnetic moment = 0.00 μB per formula unit; density of states at the Fermi level = 0.000 states/eV per atom; uncorrected formation energy = -0.9965 eV/atom
1.0
-3.939 -0.756 -6.007
-4.529 -4.359 3.518
-2.973 6.909 4.734
Tl Zn Ga Cl
2 2 2 8
Cartesian
-9.103 2.731 2.728
-2.338 -0.937 -0.483
-5.272 -1.343 2.612
-6.169 3.137 -0.367
-7.919 -0.532 0.210
-3.522 2.326 2.036
-8.296 2.269 -0.472
-0.893 1.693 0.968
-3.145 -0.475 2.718
-10.548 0.101 1.277
-5.510 -2.607 0.739
-5.931 4.402 1.507
-6.845 0.322 2.650
-4.596 1.472 -0.404

7.
PBE-GGA ZrTl2GaCl6, relaxed; total magnetic moment = 1.01 μB per formula unit; density of states at the Fermi level = 0.564 states/eV per atom; uncorrected formation energy = -1.1957 eV/atom
1.0
7.460 0.000 0.000
0.000 8.181 0.000
0.000 0.000 10.887
Zr Tl Ga Cl
2 4 2 12
Cartesian
3.730 1.759 5.443
0.000 6.422 0.000
3.730 6.670 2.123
0.000 1.511 7.567
3.730 6.670 8.763
0.000 1.511 3.320
0.000 5.723 5.443
3.730 2.457 0.000
3.730 1.676 2.903
3.730 1.676 7.984
0.000 6.505 2.540
0.000 6.505 8.346
1.889 8.136 5.443
5.571 8.136 5.443
1.839 3.456 5.443
5.621 3.456 5.443
5.569 4.725 0.000
1.891 4.725 0.000
1.841 0.044 0.000
5.619 0.044 0.000

8.
PBE-GGA ZrTlGaCl6, relaxed; total magnetic moment = 0.00 μB per formula unit; density of states at the Fermi level = 0.000 states/eV per atom; uncorrected formation energy = -1.4177 eV/atom
1.0
7.320 0.000 0.000
-3.660 6.339 0.000
0.000 0.000 13.030
Zr Tl Ga Cl
2 2 2 12
Cartesian
3.660 2.113 3.257
0.000 4.226 9.772
0.000 0.000 0.000
0.000 0.000 6.515
0.000 4.226 3.257
3.660 2.113 9.772
2.581 3.849 1.822
5.703 2.180 1.822
-0.964 6.029 8.336
-2.043 4.159 11.208
1.617 2.180 4.693
4.739 3.849 4.693
0.964 6.029 11.208
4.624 0.310 4.693
-1.079 2.490 8.336
2.696 0.310 1.822
2.043 4.159 8.336
1.079 2.490 11.208